# NpHgTe (GGA-PBE, relaxed)
data_NpHgTe
_cell_length_a 7.347
_cell_length_b 7.347
_cell_length_c 7.347
_cell_angle_alpha 90.00
_cell_angle_beta 90.00
_cell_angle_gamma 90.00
_space_group_name_H-M_alt 'F -4 3 m'
_space_group_IT_number 216
_space_group_name_Hall 'F -4 2 3'
loop_
_atom_site_label
_atom_site_type_symbol
_atom_site_fract_x
_atom_site_fract_y
_atom_site_fract_z
Np1 Np 0.000 0.000 0.000
Hg1 Hg 0.000 0.000 0.500
Te1 Te 0.250 0.250 0.750
# Size of the total moment (μB/f.u.): 5.00
# E_tot (eV/atom): -5.319
# Crystal system: cubic
# Volume (Å³ per atom): 33.0

# ZnGaNO (GGA-PBE, relaxed)
data_ZnGaNO
_cell_length_a 3.239
_cell_length_b 5.571
_cell_length_c 5.257
_cell_angle_alpha 90.00
_cell_angle_beta 90.00
_cell_angle_gamma 90.00
_space_group_name_H-M_alt 'P m c 21'
_space_group_IT_number 26
loop_
_space_group_symop_operation_xyz
'x,y,z'
'-x,-y,z+1/2'
'-x,y,z'
'x,-y,z+1/2'
loop_
_atom_site_label
_atom_site_type_symbol
_atom_site_fract_x
_atom_site_fract_y
_atom_site_fract_z
Zn1 Zn 0.000 0.178 0.000
Ga1 Ga 0.500 0.347 0.515
N1 N 0.500 0.339 0.875
O1 O 0.000 0.177 0.397
# E_tot (eV/atom): -5.291
# Crystal system: orthorhombic
# Volume (Å³ per atom): 11.9

# Gd2HoFeSn3Ir2 (GGA-PBE, relaxed)
data_Gd2HoFeSn3Ir2
_cell_length_a 3.770
_cell_length_b 13.178
_cell_length_c 7.628
_cell_angle_alpha 90.00
_cell_angle_beta 90.00
_cell_angle_gamma 90.00
_space_group_name_H-M_alt 'A m m 2'
_space_group_IT_number 38
loop_
_space_group_symop_operation_xyz
'x,y,z'
'-x,-y,z'
'-x,y,z'
'x,-y,z'
'x,y+1/2,z+1/2'
'-x,-y+1/2,z+1/2'
'-x,y+1/2,z+1/2'
'x,-y+1/2,z+1/2'
loop_
_atom_site_label
_atom_site_type_symbol
_atom_site_fract_x
_atom_site_fract_y
_atom_site_fract_z
Gd1 Gd 0.000 0.204 0.000
Ho1 Ho 0.000 0.000 0.387
Fe1 Fe 0.000 0.000 0.794
Sn1 Sn 0.500 0.000 0.052
Sn2 Sn 0.500 0.128 0.667
Ir1 Ir 0.500 0.165 0.296
# Size of the total moment (μB/f.u.): 1.69
# E_tot (eV/atom): -6.448
# Crystal system: orthorhombic
# Volume (Å³ per atom): 21.1

# TaGaSi (GGA-PBE, relaxed)
data_TaGaSi
_cell_length_a 6.137
_cell_length_b 6.137
_cell_length_c 6.137
_cell_angle_alpha 90.00
_cell_angle_beta 90.00
_cell_angle_gamma 90.00
_space_group_name_H-M_alt 'F -4 3 m'
_space_group_IT_number 216
_space_group_name_Hall 'F -4 2 3'
loop_
_atom_site_label
_atom_site_type_symbol
_atom_site_fract_x
_atom_site_fract_y
_atom_site_fract_z
Ta1 Ta 0.000 0.000 0.000
Ga1 Ga 0.250 0.250 0.750
Si1 Si 0.250 0.250 0.250
# Size of the total moment (μB/f.u.): 0.01
# E_tot (eV/atom): -6.332
# Crystal system: cubic
# Volume (Å³ per atom): 19.3

# BaSi2Mo (GGA-PBE, relaxed)
data_BaSi2Mo
_cell_length_a 6.842
_cell_length_b 6.842
_cell_length_c 6.842
_cell_angle_alpha 90.00
_cell_angle_beta 90.00
_cell_angle_gamma 90.00
_space_group_name_H-M_alt 'F -4 3 m'
_space_group_IT_number 216
_space_group_name_Hall 'F -4 2 3'
loop_
_atom_site_label
_atom_site_type_symbol
_atom_site_fract_x
_atom_site_fract_y
_atom_site_fract_z
Ba1 Ba 0.000 0.000 0.000
Si1 Si 0.000 0.000 0.500
Si2 Si 0.250 0.250 0.750
Mo1 Mo 0.250 0.250 0.250
# Size of the total moment (μB/f.u.): 0.96
# E_tot (eV/atom): -4.951
# Crystal system: cubic
# Volume (Å³ per atom): 20.0

# NaNbSeO (GGA-PBE, relaxed)
data_NaNbSeO
_cell_length_a 5.282
_cell_length_b 5.705
_cell_length_c 10.233
_cell_angle_alpha 90.00
_cell_angle_beta 104.82
_cell_angle_gamma 90.00
_space_group_name_H-M_alt 'P 1 21 1'
_space_group_IT_number 4
loop_
_space_group_symop_operation_xyz
'x,y,z'
'-x,y+1/2,-z'
loop_
_atom_site_label
_atom_site_type_symbol
_atom_site_fract_x
_atom_site_fract_y
_atom_site_fract_z
Na1 Na 0.056 0.000 0.149
Na2 Na 0.399 0.063 0.882
Nb1 Nb 0.010 0.639 0.441
Nb2 Nb 0.484 0.703 0.587
Se1 Se 0.170 0.507 0.234
Se2 Se 0.431 0.571 0.827
O1 O 0.214 0.963 0.444
O2 O 0.288 0.378 0.541
# Size of the total moment (μB/f.u.): 0.00
# E_tot (eV/atom): -6.234
# Crystal system: monoclinic
# Volume (Å³ per atom): 18.6

Among the records above, which one has the highest volume?
NpHgTe

Copy entry 4 word for word.
# TaGaSi (GGA-PBE, relaxed)
data_TaGaSi
_cell_length_a 6.137
_cell_length_b 6.137
_cell_length_c 6.137
_cell_angle_alpha 90.00
_cell_angle_beta 90.00
_cell_angle_gamma 90.00
_space_group_name_H-M_alt 'F -4 3 m'
_space_group_IT_number 216
_space_group_name_Hall 'F -4 2 3'
loop_
_atom_site_label
_atom_site_type_symbol
_atom_site_fract_x
_atom_site_fract_y
_atom_site_fract_z
Ta1 Ta 0.000 0.000 0.000
Ga1 Ga 0.250 0.250 0.750
Si1 Si 0.250 0.250 0.250
# Size of the total moment (μB/f.u.): 0.01
# E_tot (eV/atom): -6.332
# Crystal system: cubic
# Volume (Å³ per atom): 19.3

Please write out number 4 again, unchanged.
# TaGaSi (GGA-PBE, relaxed)
data_TaGaSi
_cell_length_a 6.137
_cell_length_b 6.137
_cell_length_c 6.137
_cell_angle_alpha 90.00
_cell_angle_beta 90.00
_cell_angle_gamma 90.00
_space_group_name_H-M_alt 'F -4 3 m'
_space_group_IT_number 216
_space_group_name_Hall 'F -4 2 3'
loop_
_atom_site_label
_atom_site_type_symbol
_atom_site_fract_x
_atom_site_fract_y
_atom_site_fract_z
Ta1 Ta 0.000 0.000 0.000
Ga1 Ga 0.250 0.250 0.750
Si1 Si 0.250 0.250 0.250
# Size of the total moment (μB/f.u.): 0.01
# E_tot (eV/atom): -6.332
# Crystal system: cubic
# Volume (Å³ per atom): 19.3